Density functional theory data (PBEsol) for a relaxed La2HgPb crystal.

Cell: 4.642 4.642 6.232 Å, 111.87 111.87 90.00°
Element x y z (fractional)
Pb 0.500 0.500 0.000
Hg 0.250 0.750 0.500
La 0.000 0.000 0.000
La 0.750 0.250 0.500

Calculated values
theoretical density: 10.0 g/cm³
VASP energy: -4.36 eV per atom
energy of formation: -2.2 eV/f.u.